The following is a DFT calculation (GGA+U) of a relaxed structure of FeHSe2F.

Output
total DFT energy (no corrections)	-3.678	eV per atom

a b c (Å): 5.8839 2.4651 5.8839
angles (deg): 90.00 90.00 90.00
Closest atoms and distances in Å follow each position.
Fractional coordinates of all 5 atoms:
1 H 0.0000 0.5000 0.0000  2 F 1.23
2 Fe 0.5000 0.5000 0.5000  2 Fe 2.47
3 F 0.0000 0.0000 0.0000  2 H 1.23
4 Se 0.0000 0.0000 0.5000  2 Se 2.47
5 Se 0.5000 0.0000 0.0000  2 Se 2.47